Computed, not measured: a geometry-optimized Be2CdAs structure at the GGA-PBE level of DFT.

abc: 4.7074 4.7074 4.7074
angles: 135.78 118.57 78.76
Sites, in units of the cell vectors:
Be 0.4715 0.4715 0.0000
As 0.2500 0.7500 0.5000
Cd 0.7500 0.2500 0.5000
Be 0.0285 0.0285 0.0000

Values from the calculation:
ΔE_f: 0.571 eV per atom
size of the total moment: 0.00 μB/f.u.
total energy: -2.6834 eV/atom

=====

Computed, not measured: a geometry-optimized Pa2MnC2 structure at the GGA-PBE level of DFT.

abc: 5.1146 7.0752 8.1700
angles: 90.00 90.00 90.00
Sites, in units of the cell vectors:
Pa 0.2500 0.8435 0.0479
Mn 0.7500 0.2644 0.6521
C 0.7500 0.8462 0.0716
C 0.2500 0.0168 0.3187
Pa 0.2500 0.9905 0.6649
C 0.7500 0.9832 0.6813
C 0.2500 0.5168 0.1813
Mn 0.7500 0.7644 0.8479
Pa 0.2500 0.3435 0.4521
Mn 0.2500 0.2356 0.1521
Pa 0.7500 0.6565 0.5479
Mn 0.2500 0.7356 0.3479
Pa 0.2500 0.4905 0.8351
Pa 0.7500 0.0095 0.3351
C 0.7500 0.3462 0.4284
C 0.2500 0.1538 0.9284
Pa 0.7500 0.1565 0.9521
Pa 0.7500 0.5095 0.1649
C 0.7500 0.4832 0.8187
C 0.2500 0.6538 0.5716

Values from the calculation:
ΔE_f: -0.263 eV per atom
size of the total moment: 0.00 μB/f.u.
total energy: -9.5848 eV/atom

=====

Computed, not measured: a geometry-optimized TbPmTm6 structure at the GGA-PBE level of DFT.

abc: 5.8009 6.8747 6.8747
angles: 115.20 90.00 90.00
Sites, in units of the cell vectors:
Tm 0.0000 0.2457 0.2457
Tm 0.5000 0.5000 0.0000
Tm 0.0000 0.7543 0.7543
Pm 0.5000 0.5000 0.5000
Tm 0.0000 0.2519 0.7481
Tb 0.5000 0.0000 0.0000
Tm 0.0000 0.7481 0.2519
Tm 0.5000 0.0000 0.5000

Values from the calculation:
ΔE_f: 0.128 eV per atom
size of the total moment: 0.00 μB/f.u.
total energy: -4.3985 eV/atom

=====

Computed, not measured: a geometry-optimized Pa2IF7 structure at the GGA-PBE level of DFT.

abc: 4.5350 6.4906 6.4906
angles: 104.28 90.00 90.00
Last column: magnetic moment on the atom in μB.
Sites, in units of the cell vectors:
F 0.0000 0.6808 0.3192  -0.01
Pa 0.5000 0.2728 0.7272  1.02
F 0.5000 0.9093 0.6340  -0.01
Pa 0.5000 0.7272 0.2728  1.02
F 0.5000 0.0907 0.3660  -0.01
F 0.5000 0.6340 0.9093  -0.01
F 0.0000 0.3192 0.6808  -0.01
F 0.5000 0.5000 0.5000  0.00
I 0.0000 0.0000 0.0000  0.00
F 0.5000 0.3660 0.0907  -0.01

Values from the calculation:
size of the total moment: 2.00 μB/f.u.
total energy: -6.6862 eV/atom

=====

Computed, not measured: a geometry-optimized NaIn2Bi2 structure at the GGA-PBE level of DFT.

abc: 4.9146 4.9146 8.0632
angles: 72.26 72.26 90.00
Sites, in units of the cell vectors:
In 0.7500 0.2500 0.5000
In 0.2500 0.7500 0.5000
Bi 0.6168 0.6168 0.7664
Na 0.0000 0.0000 0.0000
Bi 0.3832 0.3832 0.2336

Values from the calculation:
ΔE_f: -0.069 eV per atom
size of the total moment: 0.00 μB/f.u.
total energy: -2.9811 eV/atom

=====

Computed, not measured: a geometry-optimized Ni3HAu structure at the GGA-PBE level of DFT.

abc: 4.7329 4.7329 4.7329
angles: 90.00 90.00 90.00
Last column: magnetic moment on the atom in μB.
Sites, in units of the cell vectors:
Au 0.0000 0.0000 0.0000  0.03
Ni 0.5000 0.0000 0.0000  0.40
H 0.5000 0.5000 0.5000  0.08
Ni 0.0000 0.5000 0.0000  0.65
Ni 0.0000 0.0000 0.5000  0.85

Values from the calculation:
size of the total moment: 2.02 μB/f.u.
total energy: -3.0238 eV/atom

=====

Computed, not measured: a geometry-optimized LiAgSe2 structure at the GGA-PBE level of DFT.

abc: 4.6342 4.6342 8.7153
angles: 74.58 74.58 90.00
Sites, in units of the cell vectors:
Ag 0.7500 0.2500 0.5000
Ag 0.0000 0.0000 0.0000
Se 0.3750 0.3965 0.7500
Li 0.2500 0.7500 0.5000
Se 0.1465 0.6250 0.2500
Li 0.5000 0.5000 0.0000
Se 0.8750 0.8535 0.7500
Se 0.6035 0.1250 0.2500

Values from the calculation:
size of the total moment: 0.00 μB/f.u.
total energy: -3.2469 eV/atom

=====

Computed, not measured: a geometry-optimized ScTlRu2 structure at the GGA-PBE level of DFT.

abc: 4.1477 3.0021 5.8892
angles: 73.55 90.00 90.00
Sites, in units of the cell vectors:
Ru 0.0000 0.4255 0.4736
Ru 0.0000 0.0745 0.0264
Sc 0.5000 0.2500 0.2500
Tl 0.5000 0.7500 0.7500

Values from the calculation:
ΔE_f: 0.160 eV per atom
size of the total moment: 0.00 μB/f.u.
total energy: -6.6527 eV/atom